Density functional theory data (PBE) for a relaxed structure of ThNpPa2As4.

```
ThNpPa2As4
1.0
7.1675 0.0000 0.0000
0.0000 4.1495 0.0000
-2.4039 0.0000 6.7571
Th Np Pa As
1 1 2 4
direct
0.0000 0.0000 0.0000 Th
0.0000 0.5000 0.5000 Np
0.5000 0.0000 0.5000 Pa
0.5000 0.5000 0.0000 Pa
0.2553 0.0000 0.7472 As
0.2592 0.5000 0.2571 As
0.7408 0.5000 0.7429 As
0.7447 0.0000 0.2528 As
```

## Properties
D(E_F)	1.893	states/eV/atom
total DFT energy (no corrections)	-0.6095	Ry per atom
crystal system	monoclinic
calculated formation energy	-1.05	eV/atom
space-group type	No. 10